(1)
Hg6Pb: optimized geometry, PBE.

Computed properties:
For the energy above the most stable polymorph in this dataset, the calculation gives 0.000 eV/atom.

CIF file:
```
data_Hg6Pb
_space_group_name_H-M_alt 'P 4/m m m'
_space_group_IT_number 123
_space_group_name_Hall '-P 4 2'
_cell_length_a 5.422
_cell_length_b 5.422
_cell_length_c 7.046
_cell_angle_alpha 90.00
_cell_angle_beta 90.00
_cell_angle_gamma 90.00
loop_
_atom_site_label
_atom_site_type_symbol
_atom_site_fract_x
_atom_site_fract_y
_atom_site_fract_z
Hg1 Hg 0.000 0.000 0.000
Hg2 Hg 0.000 0.500 0.254
Hg3 Hg 0.500 0.500 0.000
Pb1 Pb 0.000 0.000 0.500
```


(2)
SbAu2I8: optimized geometry, PBE.

Computed properties:
The formation energy without anion corrections comes out at 0.06 eV per atom.

CIF file:
```
data_SbAu2I8
_space_group_name_H-M_alt 'P -3 m 1'
_space_group_IT_number 164
_space_group_name_Hall '-P 3 2"'
_cell_length_a 8.4172
_cell_length_b 8.4172
_cell_length_c 7.7099
_cell_angle_alpha 90.00
_cell_angle_beta 90.00
_cell_angle_gamma 120.00
loop_
_atom_site_label
_atom_site_type_symbol
_atom_site_fract_x
_atom_site_fract_y
_atom_site_fract_z
Sb1 Sb 0.0000 0.0000 0.0000
Au1 Au 0.3333 0.6667 0.6040
I1 I 0.1590 0.3181 0.7570
I2 I 0.3333 0.6667 0.2670
```


(3)
ScBe3: optimized geometry, PBE.

Computed properties:
For the energy above the most stable polymorph in this dataset, the calculation gives 2.448 eV/atom.

CIF file:
```
data_ScBe3
_space_group_name_H-M_alt 'P m -3 m'
_space_group_IT_number 221
_space_group_name_Hall '-P 4 2 3'
_cell_length_a 5.197
_cell_length_b 5.197
_cell_length_c 5.197
_cell_angle_alpha 90.00
_cell_angle_beta 90.00
_cell_angle_gamma 90.00
loop_
_atom_site_label
_atom_site_type_symbol
_atom_site_fract_x
_atom_site_fract_y
_atom_site_fract_z
Sc1 Sc 0.000 0.000 0.000
Be1 Be 0.000 0.000 0.500
```


(4)
GaSiPPd2: optimized geometry, PBE.

Computed properties:
The formation energy without anion corrections comes out at 0.32 eV per atom.

CIF file:
```
data_GaSiPPd2
_space_group_name_H-M_alt 'P 4/m m m'
_space_group_IT_number 123
_space_group_name_Hall '-P 4 2'
_cell_length_a 4.557
_cell_length_b 4.557
_cell_length_c 4.671
_cell_angle_alpha 90.00
_cell_angle_beta 90.00
_cell_angle_gamma 90.00
loop_
_atom_site_label
_atom_site_type_symbol
_atom_site_fract_x
_atom_site_fract_y
_atom_site_fract_z
Ga1 Ga 0.000 0.000 0.000
Si1 Si 0.500 0.500 0.000
P1 P 0.000 0.000 0.500
Pd1 Pd 0.000 0.500 0.500
```